Entry 1:
# Sc2ReSn

Crystalline Sc2ReSn at its relaxed geometry (GGA-PBE, OQMD via LeMat-Bulk).

## Properties
- SG = No. 216
- final energy (eV per atom) = -7.406

Structure (POSCAR):
```
Sc2ReSn
1.0
0.000 3.355 3.355
3.355 0.000 3.355
3.355 3.355 0.000
Re Sc Sn
1 2 1
direct
0.250 0.250 0.250 Re
0.000 0.000 0.000 Sc
0.750 0.750 0.750 Sc
0.500 0.500 0.500 Sn
```


Entry 2:
# HoTmSnC

Crystalline HoTmSnC at its relaxed geometry (GGA-PBE, OQMD via LeMat-Bulk).

## Properties
- SG = No. 164
- final energy (eV per atom) = -6.146

Structure (POSCAR):
```
HoTmSnC
1.0
3.582 0.000 0.000
-1.791 3.102 0.000
0.000 0.000 15.699
Sn C Ho Tm
2 2 2 2
direct
0.667 0.333 0.252 Sn
0.333 0.667 0.748 Sn
0.000 0.000 0.500 C
0.000 0.000 0.000 C
0.667 0.333 0.915 Ho
0.333 0.667 0.085 Ho
0.333 0.667 0.417 Tm
0.667 0.333 0.583 Tm
```


Entry 3:
# NdEr3Cu4

Crystalline NdEr3Cu4 at its relaxed geometry (GGA-PBE, OQMD via LeMat-Bulk).

## Properties
- SG = No. 6
- formation enthalpy at 0 K (eV per formula unit) = -1.990

Structure (POSCAR):
```
NdEr3Cu4
1.0
-3.590 -1.883 -3.510
1.908 -4.023 0.207
-4.215 -1.719 5.425
Er Cu Nd
3 4 1
direct
0.866 0.500 0.679 Er
0.637 0.500 0.185 Er
0.135 0.000 0.320 Er
0.118 0.500 0.042 Cu
0.633 0.000 0.460 Cu
0.873 0.000 0.973 Cu
0.371 0.500 0.523 Cu
0.367 0.000 0.818 Nd
```


Entry 4:
# GaFeCuAg

Crystalline GaFeCuAg at its relaxed geometry (GGA-PBE, OQMD via LeMat-Bulk).

## Properties
- SG = No. 216
- offset from the most stable computed form (meV per atom) = 0

Structure (POSCAR):
```
GaFeCuAg
1.0
0.000 3.058 3.058
3.058 0.000 3.058
3.058 3.058 0.000
Ag Cu Fe Ga
1 1 1 1
direct
0.500 0.500 0.500 Ag
0.750 0.750 0.750 Cu
0.250 0.250 0.250 Fe
0.000 0.000 0.000 Ga
```


Entry 5:
# Hg7P2O10

Crystalline Hg7P2O10 at its relaxed geometry (GGA-PBE, OQMD via LeMat-Bulk).

## Properties
- SG = No. 14
- final energy (eV per atom) = -4.312

Structure (POSCAR):
```
Hg7P2O10
1.0
6.317 0.000 0.009
0.000 10.047 0.000
-0.970 0.000 9.606
O P Hg
20 4 14
direct
0.677 0.429 0.234 O
0.323 0.571 0.766 O
0.548 0.155 0.492 O
0.452 0.845 0.508 O
0.503 0.300 0.702 O
0.185 0.966 0.933 O
0.815 0.466 0.567 O
0.677 0.071 0.734 O
0.273 0.101 0.660 O
0.185 0.534 0.433 O
0.497 0.800 0.798 O
0.727 0.601 0.840 O
0.503 0.200 0.202 O
0.452 0.655 0.008 O
0.497 0.700 0.298 O
0.273 0.399 0.160 O
0.548 0.345 0.992 O
0.727 0.899 0.340 O
0.323 0.929 0.266 O
0.815 0.034 0.067 O
0.502 0.153 0.647 P
0.502 0.347 0.147 P
0.498 0.653 0.853 P
0.498 0.847 0.353 P
0.987 0.153 0.913 Hg
0.812 0.388 0.815 Hg
0.013 0.847 0.087 Hg
0.013 0.653 0.587 Hg
0.500 0.000 0.000 Hg
0.239 0.363 0.848 Hg
0.188 0.612 0.185 Hg
0.761 0.863 0.652 Hg
0.188 0.888 0.685 Hg
0.812 0.112 0.315 Hg
0.239 0.137 0.348 Hg
0.987 0.347 0.413 Hg
0.500 0.500 0.500 Hg
0.761 0.637 0.152 Hg
```


Entry 6:
# AlReAs

Crystalline AlReAs at its relaxed geometry (GGA-PBE, OQMD via LeMat-Bulk).

## Properties
- SG = No. 216
- offset from the most stable computed form (meV per atom) = 0

Structure (POSCAR):
```
AlReAs
1.0
0.000 2.952 2.952
2.952 0.000 2.952
2.952 2.952 0.000
Al As Re
1 1 1
direct
0.250 0.250 0.250 Al
0.000 0.000 0.000 As
0.750 0.750 0.750 Re
```